SrRe2Tc | the Alexandria database | GGA-PBE | optimized geometry; calculated formation energy = 1131 meV/atom; D(E_F) = 4.7 states/eV/f.u.; space-group type = Pmmm; total moment = 0.00 μB/f.u.; DFT total energy = -8.11 eV per atom
1.0
3.119 0.000 0.000
0.000 4.587 0.000
0.000 0.000 4.917
Re Sr Tc
2 1 1
direct
0.000 0.000 0.000
0.500 0.500 0.000
0.500 0.000 0.500
0.000 0.500 0.500